1.
The following is a DFT calculation (GGA-PBE) of TiOs2ClO after structural relaxation.

a b c (Å): 4.887 4.887 3.739
angles (deg): 90.00 90.00 90.00
Space group P4/mmm (No. 123)
Asymmetric unit:
Ti (0.000, 0.000, 0.000) (multiplicity 1)
Os (0.000, 0.500, 0.000) (multiplicity 2)
Cl (0.500, 0.500, 0.500) (multiplicity 1)
O (0.000, 0.000, 0.500) (multiplicity 1)

Values from the calculation:
calculated volume = 89.3 Å³ per cell
E_form (uncorrected) = 1.1099 eV/atom

2.
The following is a DFT calculation (GGA-PBE) of Tl2OsCl5O after structural relaxation.

a b c (Å): 7.206 7.206 9.425
angles (deg): 90.00 90.00 90.00
Space group I4mm (No. 107)
Asymmetric unit:
Tl (0.000, 0.500, 0.000) (multiplicity 4)
Os (0.000, 0.000, 0.239) (multiplicity 2)
Cl (0.000, 0.000, 0.494) (multiplicity 2)
Cl (0.233, 0.233, 0.252) (multiplicity 8)
O (0.000, 0.000, 0.053) (multiplicity 2)

Values from the calculation:
calculated volume = 489.4 Å³ per cell
E_form (uncorrected) = -0.7534 eV/atom

3.
The following is a DFT calculation (GGA-PBE) of TlOsCl2O after structural relaxation.

a b c (Å): 4.486 4.486 5.843
angles (deg): 90.00 90.00 90.00
Space group P4/mmm (No. 123)
Asymmetric unit:
Tl (0.000, 0.000, 0.000) (multiplicity 1)
Os (0.000, 0.000, 0.500) (multiplicity 1)
Cl (0.000, 0.500, 0.500) (multiplicity 2)
O (0.500, 0.500, 0.000) (multiplicity 1)

Values from the calculation:
polymorph energy (0 for the lowest one) = 0 meV/atom
calculated volume = 117.6 Å³ per cell
E_form (uncorrected) = 0.6104 eV/atom

4.
The following is a DFT calculation (GGA-PBE) of TlOsCl2O after structural relaxation.

a b c (Å): 5.559 5.559 3.998
angles (deg): 90.00 90.00 90.00
Space group P4/mmm (No. 123)
Asymmetric unit:
Tl (0.000, 0.000, 0.000) (multiplicity 1)
Os (0.500, 0.500, 0.500) (multiplicity 1)
Cl (0.000, 0.500, 0.000) (multiplicity 2)
O (0.000, 0.000, 0.500) (multiplicity 1)

Values from the calculation:
polymorph energy (0 for the lowest one) = 410 meV/atom
calculated volume = 123.6 Å³ per cell
E_form (uncorrected) = 1.0203 eV/atom